Compound: CrRe2Pb
Source: Alexandria via LeMat-Bulk
Functional: GGA-PBE
Structure: optimized geometry

Results
The raw total energy is -68.49 eV per cell. Its size of the total moment is 1.8 μB/f.u. The calculation puts the formation energy at 3.985 eV per formula unit. Its mass density is 15.74 g/cm3.

Cell: 5.358 8.223 3.025 Å, 90.00 90.00 90.00°
Space group Cmmm (No. 65)
Unique sites:
Cr (0.000, 0.000, 0.000) [2 per cell]
Re (0.250, 0.250, 0.500) [4 per cell]
Pb (0.000, 0.500, 0.000) [2 per cell]



Compound: CrRe2Pb
Source: Alexandria via LeMat-Bulk
Functional: GGA-PBE
Structure: optimized geometry

Results
The raw total energy is -35.14 eV per cell. Its size of the total moment is 0.7 μB/f.u. The calculation puts the formation energy at 3.089 eV per formula unit. Its mass density is 15.52 g/cm3.

Cell: 2.905 4.058 5.777 Å, 90.00 97.20 90.00°
Space group P2/m (No. 10)
Unique sites:
Cr (0.000, 0.000, 0.000) [1 per cell]
Re (0.373, 0.500, 0.201) [2 per cell]
Pb (0.000, 0.000, 0.500) [1 per cell]



Compound: CrRePb3
Source: Alexandria via LeMat-Bulk
Functional: GGA-PBE
Structure: optimized geometry

Results
The raw total energy is -26.02 eV per cell. Its size of the total moment is 5.6 μB/f.u. The calculation puts the formation energy at 7.179 eV per formula unit. Its mass density is 10.27 g/cm3.

Cell: 5.180 5.180 5.180 Å, 90.00 90.00 90.00°
Space group Pm-3m (No. 221)
Unique sites:
Cr (0.000, 0.000, 0.000) [1 per cell]
Re (0.500, 0.500, 0.500) [1 per cell]
Pb (0.000, 0.000, 0.500) [3 per cell]



Compound: CrRe2Pb
Source: Alexandria via LeMat-Bulk
Functional: GGA-PBE
Structure: optimized geometry

Results
The raw total energy is -70.39 eV per cell. Its size of the total moment is 0.0 μB/f.u. The calculation puts the formation energy at 3.033 eV per formula unit. Its mass density is 15.36 g/cm3.

Cell: 9.156 3.054 4.981 Å, 90.00 101.42 90.00°
Space group Cm (No. 8)
Unique sites:
Cr (0.000, 0.000, 0.000) [2 per cell]
Re (0.231, 0.500, 0.185) [2 per cell]
Re (0.470, 0.000, 0.367) [2 per cell]
Pb (0.237, 0.000, 0.695) [2 per cell]



Compound: CrRe2Pb2
Source: Alexandria via LeMat-Bulk
Functional: GGA-PBE
Structure: optimized geometry

Results
The raw total energy is -74.53 eV per cell. Its size of the total moment is 4.9 μB/f.u. The calculation puts the formation energy at 4.672 eV per formula unit. Its mass density is 12.41 g/cm3.

Cell: 3.595 3.595 17.377 Å, 90.00 90.00 90.00°
Space group I4/mmm (No. 139)
Unique sites:
Cr (0.000, 0.000, 0.000) [2 per cell]
Re (0.000, 0.500, 0.250) [4 per cell]
Pb (0.000, 0.000, 0.391) [4 per cell]



Compound: CrRe2Pb
Source: Alexandria via LeMat-Bulk
Functional: GGA-PBE
Structure: optimized geometry

Results
The raw total energy is -138.82 eV per cell. Its size of the total moment is 0.8 μB/f.u. The calculation puts the formation energy at 3.522 eV per formula unit. Its mass density is 16.17 g/cm3.

Cell: 6.378 6.378 6.378 Å, 90.00 90.00 90.00°
Space group F-43m (No. 216)
Unique sites:
Cr (0.000, 0.000, 0.000) [4 per cell]
Re (0.000, 0.000, 0.500) [4 per cell]
Re (0.250, 0.250, 0.750) [4 per cell]
Pb (0.250, 0.250, 0.250) [4 per cell]



Compound: CrRe2Pb
Source: Alexandria via LeMat-Bulk
Functional: GGA-PBE
Structure: optimized geometry

Results
The raw total energy is -106.24 eV per cell. Its size of the total moment is 0.0 μB/f.u. The calculation puts the formation energy at 2.814 eV per formula unit. Its mass density is 15.40 g/cm3.

Cell: 2.9212 2.9212 27.6378 Å, 90.00 90.00 120.00°
Space group R-3m (No. 166, hexagonal axes)
Unique sites:
Cr (0.0000, 0.0000, 0.0000) [3 per cell]
Re (0.0000, 0.0000, 0.2647) [6 per cell]
Pb (0.0000, 0.0000, 0.5000) [3 per cell]



Compound: CrRe2Pb
Source: Alexandria via LeMat-Bulk
Functional: GGA-PBE
Structure: optimized geometry

Results
The raw total energy is -35.46 eV per cell. Its size of the total moment is 0.0 μB/f.u. The calculation puts the formation energy at 2.769 eV per formula unit. Its mass density is 15.60 g/cm3.

Cell: 3.053 3.053 7.215 Å, 90.00 90.00 90.00°
Space group P4/mmm (No. 123)
Unique sites:
Cr (0.000, 0.000, 0.000) [1 per cell]
Re (0.500, 0.500, 0.192) [2 per cell]
Pb (0.000, 0.000, 0.500) [1 per cell]